Here is a crystal of SnHg2Os2 relaxed with PBEsol from Alexandria via LeMat-Bulk. Energies are from SCAN.

The structure in POSCAR format:
```
SnHg2Os2
1.0
-2.872 0.082 -2.018
-1.954 -0.995 2.742
1.172 8.679 1.738
Os Sn Hg
2 1 2
direct
0.250 0.750 0.500
0.750 0.250 0.500
0.000 0.000 0.000
0.387 0.387 0.773
0.613 0.613 0.227
```

Summary:
total magnetic moment: 0.000 Bohr magnetons per cell
E_form: 875 meV/atom